Below is Zr6PN after structural relaxation, with properties calculated at the PBE level.

Cell: 5.8200 5.8200 16.7591 Å, 90.00 90.00 120.00°
Space group R-3 (No. 148, hexagonal axes)
Symmetry-distinct sites (fractional):
1 Zr 0.0061 0.3519 0.0904
2 P 0.0000 0.0000 0.0000
3 N 0.0000 0.0000 0.5000

Output
VASP energy (Ry per atom): -0.6513
Magnetization (μB per formula unit): 0.0
Uncorrected formation energy (eV per atom): -0.733



Below is ZrPN after structural relaxation, with properties calculated at the PBE level.

Cell: 3.349 4.753 5.925 Å, 111.99 93.26 107.53°
Space group P1 (No. 1)
Symmetry-distinct sites (fractional):
1 Zr 0.000 0.000 0.000
2 Zr 0.160 0.378 0.586
3 P 0.476 0.980 0.649
4 P 0.639 0.704 0.278
5 N 0.336 0.641 0.017
6 N 0.639 0.354 0.284

Output
VASP energy (Ry per atom): -0.6118
Magnetization (μB per formula unit): 0.0
Uncorrected formation energy (eV per atom): -0.896